Record 1
Hf2ZrBr | PBE | relaxed

Results
Its total energy is -7.1065 eV per atom. The calculation puts the uncorrected formation energy at 0.4254 eV/atom. Its excess energy over the best structure of this formula in the dataset is 0 meV per atom.

Lattice parameters (Å, degrees): 4.1381 4.1381 21.3275 90.00 90.00 90.00
Last column: nearest neighbours and their distance in Å.
Space group I-42d (No. 122)
Unique sites:
Hf  0.2473  0.2500  0.1250 (multiplicity 8)  4 Hf 2.91-2.94, 2 Zr 3.04, 2 Br 3.04
Zr  0.0000  0.0000  0.0000 (multiplicity 4)  4 Br 2.93, 4 Hf 3.04
Br  0.0000  0.0000  0.5000 (multiplicity 4)  4 Zr 2.93, 4 Hf 3.04

=====

Record 2
Hf3ZrBr | PBE | relaxed

Results
Its total energy is -7.5676 eV per atom. The calculation puts the uncorrected formation energy at 0.4486 eV/atom. Its excess energy over the best structure of this formula in the dataset is 0 meV per atom.

Lattice parameters (Å, degrees): 4.9232 4.9232 4.9232 90.00 90.00 90.00
Last column: nearest neighbours and their distance in Å.
Space group Pm-3m (No. 221)
Unique sites:
Hf  0.0000  0.0000  0.5000 (multiplicity 3)  2 Br 2.46
Zr  0.5000  0.5000  0.5000 (multiplicity 1)  12 Hf 3.48
Br  0.0000  0.0000  0.0000 (multiplicity 1)  6 Hf 2.46

=====

Record 3
HgBr | PBE | relaxed

Results
Its total energy is -1.1073 eV per atom. The calculation puts the uncorrected formation energy at -0.1199 eV/atom. Its excess energy over the best structure of this formula in the dataset is 285 meV per atom.

Lattice parameters (Å, degrees): 4.2148 4.2148 7.8260 90.00 90.00 120.00
Last column: nearest neighbours and their distance in Å.
Space group P6_3/mmc (No. 194)
Unique sites:
Hg  0.3333  0.6667  0.2500 (multiplicity 2)  6 Br 3.12
Br  0.0000  0.0000  0.0000 (multiplicity 2)  6 Hg 3.12